No. 1
First-principles (meta-GGA SCAN) data for ZrCuTc2H at its PBEsol-relaxed geometry, as listed in Alexandria.

Cell: 4.747 4.747 3.317 Å, 90.00 90.00 90.00°
Space group P4/mmm (No. 123)
Asymmetric unit:
1 Zr 0.000 0.000 0.000 x1
2 Cu 0.500 0.500 0.500 x1
3 Tc 0.000 0.500 0.000 x2
4 H 0.000 0.000 0.500 x1

Results
- energy (eV/atom) = -22.508

No. 2
First-principles (meta-GGA SCAN) data for CuTe2H at its PBEsol-relaxed geometry, as listed in Alexandria.

Cell: 6.493 6.493 6.493 Å, 90.00 90.00 90.00°
Space group Fm-3m (No. 225)
Asymmetric unit:
1 Cu 0.000 0.000 0.000 x4
2 Te 0.250 0.250 0.250 x8
3 H 0.000 0.000 0.500 x4

Results
- energy (eV/atom) = -22.648

No. 3
First-principles (meta-GGA SCAN) data for CuTeH at its PBEsol-relaxed geometry, as listed in Alexandria.

Cell: 3.204 3.912 9.292 Å, 101.86 99.33 90.05°
Space group P-1 (No. 2)
Asymmetric unit:
1 Cu 0.237 0.236 0.473 x2
2 Te 0.149 0.645 0.286 x2
3 H 0.465 0.002 0.038 x2

Results
- energy (eV/atom) = -18.687

Question: What is the formula in the second record?
Answer: CuTe2H

Question: What is the energy in the third record?
Answer: -18.687 eV/atom